Record 1
The following is a PBE calculation of crystalline Li2TlRe at its relaxed geometry, from the Alexandria database.

```
4
Lattice="-1.9734 1.9734 4.1165 1.9734 -1.9734 4.1165 1.9734 1.9734 -4.1165" Properties=species:S:1:pos:R:3 pbc="T T T"
Li 0.0000 0.0000 0.0000
Li 0.0000 1.9734 2.0582
Tl 0.0000 0.0000 4.1165
Re 1.9734 0.0000 2.0582
```

## Properties
The value obtained for the electronic total energy is -4.0442 eV per atom. The energy above the most stable polymorph in this dataset is 25.9 kJ/mol of atoms. As for the symmetry: I-4m2, No. 119.

=====

Record 2
The following is a PBE calculation of crystalline Li2TlRe at its relaxed geometry, from the Alexandria database.

```
4
Lattice="1.6840 -2.2587 0.0000 1.6840 2.2587 0.0000 0.0000 0.0000 9.4542" Properties=species:S:1:pos:R:3 pbc="T T T"
Li 0.0000 0.0000 0.0000
Li 1.6840 0.0000 2.5605
Tl 1.6840 0.0000 7.1282
Re 0.0000 0.0000 4.6844
```

## Properties
The value obtained for the electronic total energy is -4.2130 eV per atom. The energy above the most stable polymorph in this dataset is 9.6 kJ/mol of atoms. As for the symmetry: Cmm2, No. 35.

=====

Record 3
The following is a PBE calculation of crystalline LiTl3Re at its relaxed geometry, from the Alexandria database.

```
5
Lattice="5.3453 0.0000 0.0000 0.0000 5.3453 0.0000 0.0000 0.0000 5.3453" Properties=species:S:1:pos:R:3 pbc="T T T"
Li 0.0000 0.0000 0.0000
Tl 0.0000 2.6726 2.6726
Tl 2.6726 0.0000 2.6726
Tl 2.6726 2.6726 0.0000
Re 2.6726 2.6726 2.6726
```

## Properties
The value obtained for the electronic total energy is -3.7553 eV per atom. The energy above the most stable polymorph in this dataset is 0.0 kJ/mol of atoms. As for the symmetry: Pm-3m, No. 221.

=====

Record 4
The following is a PBE calculation of crystalline LiTl2Re at its relaxed geometry, from the Alexandria database.

```
4
Lattice="2.9709 0.0000 0.0000 0.0000 4.1269 0.0000 0.0000 0.0000 6.2208" Properties=species:S:1:pos:R:3 pbc="T T T"
Li 0.0000 0.0000 0.0000
Tl 1.4855 2.0634 1.5531
Tl 1.4855 2.0634 4.6677
Re 0.0000 0.0000 3.1104
```

## Properties
The value obtained for the electronic total energy is -4.1870 eV per atom. As for the symmetry: Pmmm, No. 47.

=====

Record 5
The following is a PBE calculation of crystalline LiTl2Re at its relaxed geometry, from the Alexandria database.

```
4
Lattice="2.9999 0.0000 0.0000 0.0000 4.6708 0.0000 0.0000 0.0000 5.7788" Properties=species:S:1:pos:R:3 pbc="T T T"
Li 0.0000 0.0000 0.0000
Tl 0.0000 0.0000 2.5378
Tl 1.4999 2.3354 4.7775
Re 1.4999 2.3354 1.8097
```

## Properties
The value obtained for the electronic total energy is -4.1135 eV per atom. As for the symmetry: Pmm2, No. 25.

=====

Record 6
The following is a PBE calculation of crystalline Li2TlRe at its relaxed geometry, from the Alexandria database.

```
4
Lattice="2.8062 -4.8022 0.0000 2.8062 4.8022 0.0000 -1.2912 0.0000 2.5055" Properties=species:S:1:pos:R:3 pbc="T T T"
Li 1.4031 2.4011 0.0000
Li 1.4031 -2.4011 0.0000
Tl -0.6456 0.0000 1.2528
Re 2.1606 0.0000 1.2528
```

## Properties
The value obtained for the electronic total energy is -4.2301 eV per atom. The energy above the most stable polymorph in this dataset is 8.0 kJ/mol of atoms. As for the symmetry: C2/m, No. 12.

=====

Record 7
The following is a PBE calculation of crystalline LiTlRe3 at its relaxed geometry, from the Alexandria database.

```
5
Lattice="4.2693 0.0000 0.0000 0.0000 4.2693 0.0000 0.0000 0.0000 4.2693" Properties=species:S:1:pos:R:3 pbc="T T T"
Li 0.0000 0.0000 0.0000
Tl 2.1346 2.1346 2.1346
Re 0.0000 0.0000 2.1346
Re 0.0000 2.1346 0.0000
Re 2.1346 0.0000 0.0000
```

## Properties
The value obtained for the electronic total energy is -6.6423 eV per atom. The energy above the most stable polymorph in this dataset is 0.0 kJ/mol of atoms. As for the symmetry: Pm-3m, No. 221.

=====

Record 8
The following is a PBE calculation of crystalline LiTl2Re at its relaxed geometry, from the Alexandria database.

```
4
Lattice="0.0000 3.4211 3.4211 3.4211 0.0000 3.4211 3.4211 3.4211 0.0000" Properties=species:S:1:pos:R:3 pbc="T T T"
Li 0.0000 0.0000 0.0000
Tl 1.7106 1.7106 1.7106
Tl 3.4211 3.4211 3.4211
Re 5.1317 5.1317 5.1317
```

## Properties
The value obtained for the electronic total energy is -3.7665 eV per atom. As for the symmetry: F-43m, No. 216.

=====

Record 9
The following is a PBE calculation of crystalline LiTl3Re at its relaxed geometry, from the Alexandria database.

```
5
Lattice="4.9924 0.0000 0.0000 0.0000 4.9924 0.0000 0.0000 0.0000 4.9924" Properties=species:S:1:pos:R:3 pbc="T T T"
Li 0.0000 0.0000 0.0000
Tl 0.0000 0.0000 2.4962
Tl 0.0000 2.4962 0.0000
Tl 2.4962 0.0000 0.0000
Re 2.4962 2.4962 2.4962
```

## Properties
The value obtained for the electronic total energy is -3.0973 eV per atom. The energy above the most stable polymorph in this dataset is 63.5 kJ/mol of atoms. As for the symmetry: Pm-3m, No. 221.

=====

Record 10
The following is a PBE calculation of crystalline LiTlRe3 at its relaxed geometry, from the Alexandria database.

```
5
Lattice="5.0168 0.0000 0.0000 0.0000 5.0168 0.0000 0.0000 0.0000 5.0168" Properties=species:S:1:pos:R:3 pbc="T T T"
Li 0.0000 0.0000 0.0000
Tl 2.5084 2.5084 2.5084
Re 0.0000 2.5084 2.5084
Re 2.5084 0.0000 2.5084
Re 2.5084 2.5084 0.0000
```

## Properties
The value obtained for the electronic total energy is -5.0849 eV per atom. The energy above the most stable polymorph in this dataset is 150.3 kJ/mol of atoms. As for the symmetry: Pm-3m, No. 221.

=====

Record 11
The following is a PBE calculation of crystalline LiTl2Re at its relaxed geometry, from the Alexandria database.

```
4
Lattice="2.9627 0.0000 0.0000 0.0000 4.8454 0.0000 0.0000 0.0000 5.7011" Properties=species:S:1:pos:R:3 pbc="T T T"
Li 0.0000 0.0000 0.0000
Tl 0.0000 2.4227 2.8505
Tl 1.4813 2.4227 0.0000
Re 1.4813 0.0000 2.8505
```

## Properties
The value obtained for the electronic total energy is -4.0339 eV per atom. As for the symmetry: Pmmm, No. 47.

=====

Record 12
The following is a PBE calculation of crystalline Li2TlZnRe at its relaxed geometry, from the Alexandria database.

```
5
Lattice="4.9941 0.0000 0.0000 0.0000 4.9941 0.0000 0.0000 0.0000 4.8746" Properties=species:S:1:pos:R:3 pbc="T T T"
Li 0.0000 2.4970 0.0000
Li 2.4970 0.0000 0.0000
Tl 0.0000 0.0000 2.4373
Zn 2.4970 2.4970 2.4373
Re 2.4970 2.4970 0.0000
```

## Properties
The value obtained for the electronic total energy is -2.9544 eV per atom. As for the symmetry: P4/mmm, No. 123.

=====

Q: The lowest electronic total energy belongs to which entry?
A: number 7